Material: TbCe2Te
Method: DFT, PBE-GGA
State: relaxed

Calculated values
**Formation energy from raw total energies**: -0.53 eV/atom
**Volume**: 118.2 Å³/cell
**Polymorph energy (0 for the lowest one)**: 0.0 meV per atom
**DOS(E_F)**: 8.199 states/eV/f.u.
**Final energy**: -21.8 eV/cell

a b c (Å): 4.189 4.189 6.736
angles (deg): 90.00 90.00 90.00
Fractional coordinates of all 4 atoms:
Tb 0.000 0.000 0.000
Ce 0.500 0.500 0.305
Ce 0.500 0.500 0.695
Te 0.000 0.000 0.500



Material: CsLi2CeI6
Method: DFT, PBE-GGA
State: relaxed

Calculated values
**Formation energy from raw total energies**: -1.31 eV/atom
**Volume**: 1009.2 Å³/cell
**DOS(E_F)**: 8.403 states/eV/f.u.
**Final energy**: -66.1 eV/cell

a b c (Å): 10.919 10.919 9.213
angles (deg): 106.53 106.53 86.64
Fractional coordinates of all 20 atoms:
Cs 0.087 0.913 0.750
Cs 0.913 0.087 0.250
Li 0.236 0.377 0.899
Li 0.377 0.236 0.399
Li 0.623 0.764 0.601
Li 0.764 0.623 0.101
Ce 0.283 0.717 0.250
Ce 0.717 0.283 0.750
I 0.001 0.251 0.712
I 0.203 0.623 0.884
I 0.251 0.001 0.212
I 0.274 0.418 0.223
I 0.377 0.797 0.616
I 0.418 0.274 0.723
I 0.582 0.726 0.277
I 0.623 0.203 0.384
I 0.726 0.582 0.777
I 0.749 0.999 0.788
I 0.797 0.377 0.116
I 0.999 0.749 0.288



Material: Cs2Pa2TlTe5
Method: DFT, PBE-GGA
State: relaxed

Calculated values
**Formation energy from raw total energies**: -0.77 eV/atom
**Volume**: 789.0 Å³/cell
**DOS(E_F)**: 11.698 states/eV/f.u.
**Final energy**: -92.9 eV/cell

a b c (Å): 13.979 13.979 4.038
angles (deg): 90.00 90.00 90.00
Fractional coordinates of all 20 atoms:
Cs 0.181 0.319 0.000
Cs 0.319 0.819 0.000
Cs 0.681 0.181 0.000
Cs 0.819 0.681 0.000
Pa 0.120 0.620 0.000
Pa 0.380 0.120 0.000
Pa 0.620 0.880 0.000
Pa 0.880 0.380 0.000
Tl 0.000 0.000 0.000
Tl 0.500 0.500 0.000
Te 0.000 0.500 0.500
Te 0.070 0.780 0.500
Te 0.220 0.070 0.500
Te 0.280 0.570 0.500
Te 0.430 0.280 0.500
Te 0.500 0.000 0.500
Te 0.570 0.720 0.500
Te 0.720 0.430 0.500
Te 0.780 0.930 0.500
Te 0.930 0.220 0.500



Material: AcZnIn
Method: DFT, PBE-GGA
State: relaxed

Calculated values
**Energy of formation from the pure elements**: -1.2 eV per formula unit
**Volume**: 668.2 Å³/cell
**Polymorph energy (0 for the lowest one)**: 0.0 meV per atom
**DOS(E_F)**: 1.215 states/eV/f.u.
**Final energy**: -74.8 eV/cell

a b c (Å): 4.975 16.218 8.282
angles (deg): 90.00 90.00 90.00
Fractional coordinates of all 24 atoms:
Ac 0.250 0.003 0.216
Ac 0.250 0.250 0.284
Ac 0.250 0.497 0.216
Ac 0.250 0.750 0.286
Ac 0.750 0.250 0.714
Ac 0.750 0.503 0.784
Ac 0.750 0.750 0.716
Ac 0.750 0.997 0.784
Zn 0.250 0.159 0.915
Zn 0.250 0.341 0.915
Zn 0.250 0.595 0.583
Zn 0.250 0.905 0.583
Zn 0.750 0.095 0.417
Zn 0.750 0.405 0.417
Zn 0.750 0.659 0.085
Zn 0.750 0.841 0.085
In 0.250 0.101 0.591
In 0.250 0.399 0.591
In 0.250 0.648 0.913
In 0.250 0.852 0.913
In 0.750 0.148 0.087
In 0.750 0.352 0.087
In 0.750 0.601 0.409
In 0.750 0.899 0.409



Material: TlNiRh2
Method: DFT, PBE-GGA
State: relaxed

Calculated values
**Energy of formation from the pure elements**: 0.8 eV per formula unit
**Volume**: 61.6 Å³/cell
**DOS(E_F)**: 4.996 states/eV/f.u.
**Final energy**: -22.1 eV/cell

a b c (Å): 4.067 4.067 3.728
angles (deg): 90.00 90.00 90.00
Fractional coordinates of all 4 atoms:
Tl 0.000 0.000 0.000
Ni 0.500 0.500 0.000
Rh 0.000 0.500 0.500
Rh 0.500 0.000 0.500



Material: Tb2TiHg
Method: DFT, PBE-GGA
State: relaxed

Calculated values
**Energy of formation from the pure elements**: -0.4 eV per formula unit
**Volume**: 100.6 Å³/cell
**Polymorph energy (0 for the lowest one)**: 0.0 meV per atom
**DOS(E_F)**: 4.442 states/eV/f.u.
**Final energy**: -17.8 eV/cell

a b c (Å): 3.445 3.445 8.478
angles (deg): 90.00 90.00 90.00
Fractional coordinates of all 4 atoms:
Tb 0.000 0.000 0.246
Tb 0.000 0.000 0.754
Ti 0.500 0.500 0.000
Hg 0.500 0.500 0.500